No. 1
The following is a PBE-GGA calculation of crystalline Ac3NdSm2S6 at its relaxed geometry, from Alexandria.

The structure in POSCAR format:
```
Ac3NdSm2S6
1.0
3.592 -6.233 0.000
3.592 6.233 0.000
-2.408 0.000 6.851
Ac Nd Sm S
3 1 2 6
Cartesian
0.000 0.000 0.000
3.592 2.063 0.000
3.592 -2.063 0.000
2.388 0.000 3.425
2.388 4.156 3.425
2.388 -4.156 3.425
1.183 2.099 1.840
-0.035 0.000 5.002
1.183 -2.099 1.840
3.593 2.099 5.011
4.810 0.000 1.849
3.593 -2.099 5.011
```

---

No. 2
The following is a PBE-GGA calculation of crystalline Ac2NdSmS6 at its relaxed geometry, from Alexandria.

The structure in POSCAR format:
```
Ac2NdSmS6
1.0
3.690 2.130 6.344
-3.690 2.130 6.344
0.000 -4.261 6.344
Ac Nd Sm S
2 1 1 6
Cartesian
0.000 0.000 0.000
0.000 0.000 9.506
0.000 0.000 4.050
0.000 0.000 13.549
-2.787 0.163 8.480
-0.910 -1.937 11.665
1.252 -2.495 8.480
-1.223 1.757 11.665
1.534 2.332 8.480
2.133 0.180 11.665
```

---

What final energy values result from the calculations? In sequence: -6.28, -6.33 eV per atom.
What E_form (uncorrected) values result from the calculations? In sequence: -2.0097, -2.0824 eV per atom.
What magnetization values result from the calculations? In sequence: 0.0, 0.0 μB per formula unit.